No. 1
Density functional theory data (PBE) for an optimized crystal structure of Tb4NdY6.

Structure (POSCAR):
```
Tb4NdY6
1.0
2.866 -4.853 0.000
2.866 4.853 0.000
0.000 0.000 25.857
Tb Nd Y
8 2 12
direct
0.022 0.978 0.621 Tb
0.022 0.978 0.879 Tb
0.340 0.660 0.542 Tb
0.340 0.660 0.958 Tb
0.660 0.340 0.042 Tb
0.660 0.340 0.458 Tb
0.978 0.022 0.121 Tb
0.978 0.022 0.379 Tb
0.320 0.680 0.250 Nd
0.680 0.320 0.750 Nd
0.000 0.000 0.000 Y
0.000 0.000 0.500 Y
0.014 0.986 0.750 Y
0.317 0.683 0.102 Y
0.317 0.683 0.398 Y
0.350 0.650 0.681 Y
0.350 0.650 0.819 Y
0.650 0.350 0.181 Y
0.650 0.350 0.319 Y
0.683 0.317 0.602 Y
0.683 0.317 0.898 Y
0.986 0.014 0.250 Y
```

symmetry	Cmcm, No. 63
mass density	6.064	g/cm³
formation energy from the elements	0.12	eV per atom
size of the total moment	0.00	Bohr magnetons per cell
Fermi-level density of states	1.840	states/eV per atom
energy above the most stable polymorph in this dataset	0	meV per atom

No. 2
Density functional theory data (PBE) for an optimized crystal structure of Ru2ClF8.

Structure (POSCAR):
```
Ru2ClF8
1.0
3.017 -4.569 0.000
3.017 4.569 0.000
-0.913 0.000 7.175
Ru Cl F
2 1 8
direct
0.130 0.130 0.209 Ru
0.870 0.870 0.791 Ru
0.000 0.000 0.500 Cl
0.086 0.678 0.797 F
0.191 0.191 0.944 F
0.322 0.914 0.203 F
0.431 0.431 0.306 F
0.569 0.569 0.694 F
0.678 0.086 0.797 F
0.809 0.809 0.056 F
0.914 0.322 0.203 F
```

formation energy from raw total energies	-15.90	eV/f.u.
symmetry	C2/m, No. 12
mass density	3.271	g/cm³
size of the total moment	5.06	Bohr magnetons per cell
Fermi-level density of states	0.067	states/eV per atom

No. 3
Density functional theory data (PBE) for an optimized crystal structure of Bi3Pb4.

Structure (POSCAR):
```
Bi3Pb4
1.0
16.451 0.000 0.000
0.000 3.442 0.000
-3.865 0.000 8.032
Bi Pb
6 8
direct
0.000 0.000 0.000 Bi
0.225 0.000 0.165 Bi
0.275 0.500 0.835 Bi
0.500 0.500 0.000 Bi
0.725 0.500 0.165 Bi
0.775 0.000 0.835 Bi
0.071 0.000 0.705 Pb
0.142 0.500 0.408 Pb
0.358 0.000 0.592 Pb
0.429 0.500 0.295 Pb
0.571 0.500 0.705 Pb
0.642 0.000 0.408 Pb
0.858 0.500 0.592 Pb
0.929 0.000 0.295 Pb
```

symmetry	C2/m, No. 12
mass density	10.629	g/cm³
formation energy from the elements	0.05	eV per atom
size of the total moment	0.00	Bohr magnetons per cell
Fermi-level density of states	0.584	states/eV per atom
energy above the most stable polymorph in this dataset	25	meV per atom

No. 4
Density functional theory data (PBE) for an optimized crystal structure of Sm2Dy5Bi5.

Structure (POSCAR):
```
Sm2Dy5Bi5
1.0
7.296 -2.226 0.000
7.296 2.226 0.000
-4.292 0.000 12.097
Sm Dy Bi
2 5 5
direct
0.044 0.044 0.281 Sm
0.956 0.956 0.719 Sm
0.289 0.289 0.164 Dy
0.339 0.339 0.467 Dy
0.500 0.500 0.000 Dy
0.661 0.661 0.533 Dy
0.711 0.711 0.836 Dy
0.000 0.000 0.500 Bi
0.123 0.123 0.943 Bi
0.298 0.298 0.709 Bi
0.702 0.702 0.291 Bi
0.877 0.877 0.057 Bi
```

symmetry	C2/m, No. 12
mass density	9.121	g/cm³
formation energy from the elements	-0.59	eV per atom
size of the total moment	0.00	Bohr magnetons per cell
Fermi-level density of states	0.674	states/eV per atom

No. 5
Density functional theory data (PBE) for an optimized crystal structure of KCrMo2.

Structure (POSCAR):
```
KCrMo2
1.0
3.203 0.000 0.000
0.000 3.609 0.000
0.000 0.000 7.962
K Cr Mo
1 1 2
direct
0.000 0.000 0.000 K
0.500 0.500 0.639 Cr
0.000 0.000 0.523 Mo
0.500 0.500 0.369 Mo
```

symmetry	Pmm2, No. 25
mass density	5.106	g/cm³
formation energy from the elements	0.86	eV per atom
size of the total moment	0.00	Bohr magnetons per cell
Fermi-level density of states	0.541	states/eV per atom
energy above the most stable polymorph in this dataset	50	meV per atom

No. 6
Density functional theory data (PBE) for an optimized crystal structure of Pr2NdEr4Tm.

Structure (POSCAR):
```
Pr2NdEr4Tm
1.0
-3.397 5.931 6.628
3.397 -5.931 6.628
3.397 5.931 -6.628
Pr Nd Er Tm
4 2 8 2
direct
0.000 0.000 0.000 Pr
0.500 0.000 0.000 Pr
0.500 0.000 0.500 Pr
0.500 0.500 0.500 Pr
0.000 0.500 0.500 Nd
0.500 0.500 0.000 Nd
0.243 0.243 0.500 Er
0.243 0.250 0.993 Er
0.243 0.743 0.000 Er
0.243 0.750 0.493 Er
0.757 0.250 0.507 Er
0.757 0.257 0.000 Er
0.757 0.750 0.007 Er
0.757 0.757 0.500 Er
0.000 0.000 0.500 Tm
0.000 0.500 0.000 Tm
```

symmetry	Imma, No. 74
mass density	7.859	g/cm³
formation energy from the elements	0.41	eV per atom
size of the total moment	0.11	Bohr magnetons per cell
Fermi-level density of states	2.417	states/eV per atom

No. 7
Density functional theory data (PBE) for an optimized crystal structure of ZrBeSb2I.

Structure (POSCAR):
```
ZrBeSb2I
1.0
4.819 0.000 0.000
0.000 4.819 0.000
0.000 0.000 5.408
Zr Be Sb I
1 1 2 1
direct
0.000 0.000 0.000 Zr
0.500 0.500 0.500 Be
0.000 0.500 0.500 Sb
0.500 0.000 0.500 Sb
0.500 0.500 0.000 I
```

formation energy from raw total energies	2.57	eV/f.u.
symmetry	P4/mmm, No. 123
mass density	6.223	g/cm³
size of the total moment	0.80	Bohr magnetons per cell
Fermi-level density of states	0.901	states/eV per atom
energy above the most stable polymorph in this dataset	0	meV per atom

No. 8
Density functional theory data (PBE) for an optimized crystal structure of Cs2TbGaCl6.

Structure (POSCAR):
```
Cs2TbGaCl6
1.0
0.000 5.603 5.603
5.603 0.000 5.603
5.603 5.603 0.000
Cs Tb Ga Cl
2 1 1 6
direct
0.250 0.250 0.250 Cs
0.750 0.750 0.750 Cs
0.000 0.000 0.000 Tb
0.500 0.500 0.500 Ga
0.237 0.237 0.763 Cl
0.237 0.763 0.237 Cl
0.237 0.763 0.763 Cl
0.763 0.237 0.237 Cl
0.763 0.237 0.763 Cl
0.763 0.763 0.237 Cl
```

formation energy from raw total energies	-19.06	eV/f.u.
symmetry	Fm-3m, No. 225
mass density	3.339	g/cm³
size of the total moment	0.00	Bohr magnetons per cell
Fermi-level density of states	0.000	states/eV per atom

No. 9
Density functional theory data (PBE) for an optimized crystal structure of Rb2InAgCl5.

Structure (POSCAR):
```
Rb2InAgCl5
1.0
4.975 0.000 0.000
0.000 4.975 0.000
0.000 0.000 11.550
Rb In Ag Cl
2 1 1 5
direct
0.000 0.000 0.213 Rb
0.000 0.000 0.787 Rb
0.500 0.500 0.500 In
0.500 0.500 0.000 Ag
0.000 0.000 0.500 Cl
0.000 0.500 0.000 Cl
0.500 0.000 0.000 Cl
0.500 0.500 0.259 Cl
0.500 0.500 0.741 Cl
```

formation energy from raw total energies	-10.84	eV/f.u.
symmetry	P4/mmm, No. 123
mass density	3.316	g/cm³
size of the total moment	0.00	Bohr magnetons per cell
Fermi-level density of states	0.409	states/eV per atom

No. 10
Density functional theory data (PBE) for an optimized crystal structure of Na4TlPb6.

Structure (POSCAR):
```
Na4TlPb6
1.0
-3.296 3.296 8.189
3.296 -3.296 8.189
3.296 3.296 -8.189
Na Tl Pb
4 1 6
direct
0.021 0.630 0.000 Na
0.370 0.370 0.391 Na
0.630 0.021 0.000 Na
0.979 0.979 0.609 Na
0.000 0.000 0.000 Tl
0.000 0.500 0.500 Pb
0.194 0.194 0.638 Pb
0.444 0.806 0.000 Pb
0.500 0.000 0.500 Pb
0.556 0.556 0.362 Pb
0.806 0.444 0.000 Pb
```

symmetry	I-42m, No. 121
mass density	7.183	g/cm³
formation energy from the elements	-0.04	eV per atom
size of the total moment	0.00	Bohr magnetons per cell
Fermi-level density of states	0.422	states/eV per atom

No. 11
Density functional theory data (PBE) for an optimized crystal structure of LaNd2Ho8.

Structure (POSCAR):
```
LaNd2Ho8
1.0
-2.764 4.078 8.037
2.764 -4.078 8.037
2.764 4.078 -8.037
La Nd Ho
1 2 8
direct
0.000 0.000 0.000 La
0.300 0.300 0.000 Nd
0.700 0.700 0.000 Nd
0.154 0.860 0.294 Ho
0.161 0.661 0.500 Ho
0.294 0.500 0.794 Ho
0.434 0.140 0.294 Ho
0.566 0.860 0.706 Ho
0.706 0.500 0.206 Ho
0.839 0.339 0.500 Ho
0.846 0.140 0.706 Ho
```

symmetry	Immm, No. 71
mass density	8.006	g/cm³
formation energy from the elements	0.12	eV per atom
size of the total moment	0.00	Bohr magnetons per cell
Fermi-level density of states	1.390	states/eV per atom
energy above the most stable polymorph in this dataset	0	meV per atom

No. 12
Density functional theory data (PBE) for an optimized crystal structure of CsHg2S2Cl.

Structure (POSCAR):
```
CsHg2S2Cl
1.0
7.093 0.000 0.000
0.000 6.855 0.000
-1.508 0.000 10.303
Cs Hg S Cl
2 4 4 2
direct
0.183 0.250 0.132 Cs
0.817 0.750 0.868 Cs
0.230 0.003 0.647 Hg
0.230 0.497 0.647 Hg
0.770 0.503 0.353 Hg
0.770 0.997 0.353 Hg
0.204 0.250 0.486 S
0.298 0.750 0.802 S
0.702 0.250 0.198 S
0.796 0.750 0.514 S
0.013 0.750 0.185 Cl
0.987 0.250 0.815 Cl
```

formation energy from raw total energies	-4.15	eV/f.u.
symmetry	P2_1/m, No. 11
mass density	4.200	g/cm³
size of the total moment	0.00	Bohr magnetons per cell
Fermi-level density of states	0.000	states/eV per atom

No. 13
Density functional theory data (PBE) for an optimized crystal structure of Ac7La12Nd.

Structure (POSCAR):
```
Ac7La12Nd
1.0
10.207 5.893 2.237
-10.207 5.893 2.237
0.000 -11.786 2.237
Ac La Nd
7 12 1
direct
0.000 0.000 0.000 Ac
0.120 0.379 0.379 Ac
0.379 0.120 0.379 Ac
0.379 0.379 0.120 Ac
0.621 0.621 0.880 Ac
0.621 0.880 0.621 Ac
0.880 0.621 0.621 Ac
0.001 0.597 0.406 La
0.077 0.441 0.078 La
0.078 0.077 0.441 La
0.403 0.594 0.999 La
0.406 0.001 0.597 La
0.441 0.078 0.077 La
0.559 0.922 0.923 La
0.594 0.999 0.403 La
0.597 0.406 0.001 La
0.922 0.923 0.559 La
0.923 0.559 0.922 La
0.999 0.403 0.594 La
0.500 0.500 0.500 Nd
```

symmetry	R-3, No. 148
mass density	6.993	g/cm³
formation energy from the elements	0.25	eV per atom
size of the total moment	0.00	Bohr magnetons per cell
Fermi-level density of states	1.301	states/eV per atom

No. 14
Density functional theory data (PBE) for an optimized crystal structure of CaHgAs2.

Structure (POSCAR):
```
CaHgAs2
1.0
7.855 0.000 0.000
0.000 7.855 0.000
0.000 0.000 6.252
Ca Hg As
4 4 8
direct
0.000 0.000 0.000 Ca
0.000 0.500 0.250 Ca
0.500 0.000 0.750 Ca
0.500 0.500 0.500 Ca
0.000 0.000 0.500 Hg
0.000 0.500 0.750 Hg
0.500 0.000 0.250 Hg
0.500 0.500 0.000 Hg
0.217 0.750 0.625 As
0.250 0.217 0.375 As
0.250 0.283 0.875 As
0.283 0.750 0.125 As
0.717 0.250 0.125 As
0.750 0.717 0.875 As
0.750 0.783 0.375 As
0.783 0.250 0.625 As
```

symmetry	I-42d, No. 122
mass density	6.724	g/cm³
formation energy from the elements	-0.32	eV per atom
size of the total moment	0.00	Bohr magnetons per cell
Fermi-level density of states	0.103	states/eV per atom

No. 15
Density functional theory data (PBE) for an optimized crystal structure of Rb2ScMnSi.

Structure (POSCAR):
```
Rb2ScMnSi
1.0
6.823 0.000 0.000
0.000 6.823 0.000
0.000 0.000 5.161
Rb Sc Mn Si
2 1 1 1
direct
0.000 0.500 0.000 Rb
0.500 0.000 0.000 Rb
0.000 0.000 0.500 Sc
0.500 0.500 0.500 Mn
0.000 0.000 0.000 Si
```

formation energy from raw total energies	4.38	eV/f.u.
symmetry	P4/mmm, No. 123
mass density	2.066	g/cm³
size of the total moment	4.04	Bohr magnetons per cell
Fermi-level density of states	0.690	states/eV per atom

No. 16
Density functional theory data (PBE) for an optimized crystal structure of Cs2GaPF6.

Structure (POSCAR):
```
Cs2GaPF6
1.0
0.000 4.586 4.586
4.586 0.000 4.586
4.586 4.586 0.000
Cs Ga P F
2 1 1 6
direct
0.250 0.250 0.250 Cs
0.750 0.750 0.750 Cs
0.000 0.000 0.000 Ga
0.500 0.500 0.500 P
0.281 0.281 0.719 F
0.281 0.719 0.281 F
0.281 0.719 0.719 F
0.719 0.281 0.281 F
0.719 0.281 0.719 F
0.719 0.719 0.281 F
```

formation energy from raw total energies	-22.12	eV/f.u.
symmetry	Fm-3m, No. 225
mass density	4.137	g/cm³
size of the total moment	0.00	Bohr magnetons per cell
Fermi-level density of states	0.000	states/eV per atom

No. 17
Density functional theory data (PBE) for an optimized crystal structure of TbEr2ReO8.

Structure (POSCAR):
```
TbEr2ReO8
1.0
3.534 -3.562 0.000
3.534 3.562 0.000
0.000 0.000 6.727
Tb Er Re O
1 2 1 8
direct
0.000 0.000 0.000 Tb
0.500 0.500 0.248 Er
0.500 0.500 0.752 Er
0.000 0.000 0.500 Re
0.183 0.817 0.293 O
0.183 0.817 0.707 O
0.269 0.269 0.500 O
0.310 0.310 0.000 O
0.690 0.690 0.000 O
0.731 0.731 0.500 O
0.817 0.183 0.293 O
0.817 0.183 0.707 O
```

formation energy from raw total energies	-33.72	eV/f.u.
symmetry	Cmmm, No. 65
mass density	7.917	g/cm³
size of the total moment	0.00	Bohr magnetons per cell
Fermi-level density of states	0.000	states/eV per atom

No. 18
Density functional theory data (PBE) for an optimized crystal structure of Ac2TeHO6.

Structure (POSCAR):
```
Ac2TeHO6
1.0
5.804 0.000 0.000
0.000 5.804 0.000
0.000 0.000 4.428
Ac Te H O
2 1 1 6
direct
0.000 0.500 0.000 Ac
0.500 0.000 0.000 Ac
0.000 0.000 0.581 Te
0.500 0.500 0.356 H
0.000 0.000 0.122 O
0.241 0.241 0.653 O
0.241 0.759 0.653 O
0.500 0.500 0.134 O
0.759 0.241 0.653 O
0.759 0.759 0.653 O
```

symmetry	P4mm, No. 99
mass density	7.556	g/cm³
size of the total moment	0.00	Bohr magnetons per cell
Fermi-level density of states	0.223	states/eV per atom
E	-6.5229	eV/atom

No. 19
Density functional theory data (PBE) for an optimized crystal structure of KBeV2Hg.

Structure (POSCAR):
```
KBeV2Hg
1.0
5.240 0.000 0.000
0.000 5.240 0.000
0.000 0.000 5.887
K Be V Hg
1 1 2 1
direct
0.000 0.000 0.000 K
0.500 0.500 0.000 Be
0.000 0.500 0.500 V
0.500 0.000 0.500 V
0.000 0.000 0.500 Hg
```

symmetry	P4/mmm, No. 123
mass density	3.601	g/cm³
formation energy from the elements	1.73	eV per atom
size of the total moment	7.49	Bohr magnetons per cell
Fermi-level density of states	1.876	states/eV per atom

No. 20
Density functional theory data (PBE) for an optimized crystal structure of KIrW2.

Structure (POSCAR):
```
KIrW2
1.0
12.301 0.000 0.000
0.000 2.690 0.000
-2.201 0.000 4.727
K Ir W
2 2 4
direct
0.000 0.000 0.000 K
0.500 0.500 0.000 K
0.000 0.500 0.500 Ir
0.500 0.000 0.500 Ir
0.206 0.000 0.706 W
0.294 0.500 0.294 W
0.706 0.500 0.706 W
0.794 0.000 0.294 W
```

symmetry	C2/m, No. 12
mass density	12.722	g/cm³
formation energy from the elements	0.93	eV per atom
size of the total moment	0.00	Bohr magnetons per cell
Fermi-level density of states	1.033	states/eV per atom
energy above the most stable polymorph in this dataset	279	meV per atom